No. 1
An optimized crystal structure of MnTlI2, computed with PBE.

Cell and atoms, written as CIF:
```
data_MnTlI2
_chemical_formula_sum 'Mn3 Tl3 I6'
_space_group_name_H-M_alt 'R -3 m'
_space_group_IT_number 166
_space_group_name_Hall '-R 3 2"'
_cell_length_a 4.0335
_cell_length_b 4.0335
_cell_length_c 31.4712
_cell_angle_alpha 90.00
_cell_angle_beta 90.00
_cell_angle_gamma 120.00
loop_
_atom_site_label
_atom_site_type_symbol
_atom_site_fract_x
_atom_site_fract_y
_atom_site_fract_z
Mn1 Mn 0.0000 0.0000 0.0000
Tl1 Tl 0.0000 0.0000 0.5000
I1 I 0.0000 0.0000 0.3873
```

Excess energy over the best structure of this formula in the dataset (kJ/mol of formula units): 0
Energy relative to the elements, uncorrected (eV/f.u.): -0.818
Fermi-level density of states (states/eV/cell): 8.63

No. 2
An optimized crystal structure of InB2Pb, computed with PBE.

Cell and atoms, written as CIF:
```
data_InB2Pb
_chemical_formula_sum 'In4 B8 Pb4'
_space_group_name_H-M_alt 'I -4 2 d'
_space_group_IT_number 122
_space_group_name_Hall 'I -4 2bw'
_cell_length_a 5.524
_cell_length_b 5.524
_cell_length_c 10.648
_cell_angle_alpha 90.00
_cell_angle_beta 90.00
_cell_angle_gamma 90.00
loop_
_atom_site_label
_atom_site_type_symbol
_atom_site_fract_x
_atom_site_fract_y
_atom_site_fract_z
In1 In 0.000 0.000 0.000
B1 B 0.245 0.250 0.125
Pb1 Pb 0.000 0.000 0.500
```

Excess energy over the best structure of this formula in the dataset (kJ/mol of formula units): 0
Energy relative to the elements (kJ/mol of atoms): 115
Fermi-level density of states (states/eV/cell): 11.61

No. 3
An optimized crystal structure of La3DyPt8, computed with PBE.

Cell and atoms, written as CIF:
```
data_La3DyPt8
_chemical_formula_sum 'La9 Dy3 Pt24'
_space_group_name_H-M_alt 'R 3 m'
_space_group_IT_number 160
_space_group_name_Hall 'R 3 -2"'
_cell_length_a 5.5266
_cell_length_b 5.5266
_cell_length_c 27.0920
_cell_angle_alpha 90.00
_cell_angle_beta 90.00
_cell_angle_gamma 120.00
loop_
_atom_site_label
_atom_site_type_symbol
_atom_site_fract_x
_atom_site_fract_y
_atom_site_fract_z
La1 La 0.0000 0.0000 0.0000
La2 La 0.0000 0.0000 0.1259
La3 La 0.0000 0.0000 0.5012
Dy1 Dy 0.0000 0.0000 0.6258
Pt1 Pt 0.0000 0.0000 0.3128
Pt2 Pt 0.0000 0.0000 0.8130
Pt3 Pt 0.0006 0.5003 0.5642
Pt4 Pt 0.1676 0.3352 0.3953
```

Energy relative to the elements (kJ/mol of atoms): -106
Fermi-level density of states (states/eV/cell): 6.11

No. 4
An optimized crystal structure of SmGa6Co6, computed with PBE.

Cell and atoms, written as CIF:
```
data_SmGa6Co6
_chemical_formula_sum 'Sm2 Ga12 Co12'
_space_group_name_H-M_alt 'I m m m'
_space_group_IT_number 71
_space_group_name_Hall '-I 2 2'
_cell_length_a 5.059
_cell_length_b 8.228
_cell_length_c 8.651
_cell_angle_alpha 90.00
_cell_angle_beta 90.00
_cell_angle_gamma 90.00
loop_
_atom_site_label
_atom_site_type_symbol
_atom_site_fract_x
_atom_site_fract_y
_atom_site_fract_z
Sm1 Sm 0.000 0.000 0.000
Ga1 Ga 0.000 0.000 0.345
Ga2 Ga 0.000 0.343 0.000
Ga3 Ga 0.000 0.500 0.312
Co1 Co 0.000 0.259 0.500
Co2 Co 0.250 0.250 0.250
```

Energy relative to the elements (kJ/mol of atoms): -30
Fermi-level density of states (states/eV/cell): 36.07

No. 5
An optimized crystal structure of CaLa2CdRu, computed with PBE.

Cell and atoms, written as CIF:
```
data_CaLa2CdRu
_chemical_formula_sum 'Ca1 La2 Cd1 Ru1'
_space_group_name_H-M_alt 'P 4/m m m'
_space_group_IT_number 123
_space_group_name_Hall '-P 4 2'
_cell_length_a 5.364
_cell_length_b 5.364
_cell_length_c 5.737
_cell_angle_alpha 90.00
_cell_angle_beta 90.00
_cell_angle_gamma 90.00
loop_
_atom_site_label
_atom_site_type_symbol
_atom_site_fract_x
_atom_site_fract_y
_atom_site_fract_z
Ca1 Ca 0.000 0.000 0.000
La1 La 0.000 0.500 0.500
Cd1 Cd 0.500 0.500 0.000
Ru1 Ru 0.000 0.000 0.500
```

Excess energy over the best structure of this formula in the dataset (kJ/mol of formula units): 0
Energy relative to the elements (kJ/mol of atoms): -18
Fermi-level density of states (states/eV/cell): 4.60